Tb6Sb3H, optimized geometry, DFT PBE; D(E_F) = 14.37 states/eV per cell
1.0
5.7759 -7.5100 0.0000
5.7759 7.5100 0.0000
0.0000 0.0000 6.2932
Tb Sb H
12 6 2
direct
0.0816 0.9184 0.5000 Tb
0.0951 0.5458 0.2859 Tb
0.2608 0.3549 0.8416 Tb
0.2729 0.7271 0.7748 Tb
0.3549 0.2608 0.3416 Tb
0.4542 0.9049 0.2859 Tb
0.5458 0.0951 0.7859 Tb
0.6451 0.7392 0.8416 Tb
0.7271 0.2729 0.2748 Tb
0.7392 0.6451 0.3416 Tb
0.9049 0.4542 0.7859 Tb
0.9184 0.0816 0.0000 Tb
0.0342 0.2423 0.4950 Sb
0.2423 0.0342 0.9950 Sb
0.4140 0.5860 0.1635 Sb
0.5860 0.4140 0.6635 Sb
0.7577 0.9658 0.4950 Sb
0.9658 0.7577 0.9950 Sb
0.2267 0.7733 0.4318 H
0.7733 0.2267 0.9318 H

---

Zr3InF15, optimized geometry, DFT PBE; D(E_F) = 0.00 states/eV per cell; formation energy from raw total energies = -3424 meV per atom
1.0
6.1549 3.5535 3.7673
-6.1549 3.5535 3.7673
0.0000 -7.1070 3.7673
Zr In F
6 2 30
direct
0.1805 0.7500 0.3195 Zr
0.2500 0.6805 0.8195 Zr
0.3195 0.1805 0.7500 Zr
0.6805 0.8195 0.2500 Zr
0.7500 0.3195 0.1805 Zr
0.8195 0.2500 0.6805 Zr
0.2500 0.2500 0.2500 In
0.7500 0.7500 0.7500 In
0.0199 0.7836 0.7788 F
0.0376 0.4624 0.7500 F
0.0484 0.1506 0.6758 F
0.1506 0.6758 0.0484 F
0.1758 0.6506 0.5484 F
0.2164 0.2212 0.9801 F
0.2212 0.9801 0.2164 F
0.2500 0.9624 0.5376 F
0.2788 0.2836 0.5199 F
0.2836 0.5199 0.2788 F
0.3242 0.9516 0.8494 F
0.3494 0.4516 0.8242 F
0.4516 0.8242 0.3494 F
0.4624 0.7500 0.0376 F
0.4801 0.7212 0.7164 F
0.5199 0.2788 0.2836 F
0.5376 0.2500 0.9624 F
0.5484 0.1758 0.6506 F
0.6506 0.5484 0.1758 F
0.6758 0.0484 0.1506 F
0.7164 0.4801 0.7212 F
0.7212 0.7164 0.4801 F
0.7500 0.0376 0.4624 F
0.7788 0.0199 0.7836 F
0.7836 0.7788 0.0199 F
0.8242 0.3494 0.4516 F
0.8494 0.3242 0.9516 F
0.9516 0.8494 0.3242 F
0.9624 0.5376 0.2500 F
0.9801 0.2164 0.2212 F

---

RbZnHg, optimized geometry, DFT PBE; excess energy over the best structure of this formula in the dataset = 56.2 meV per atom; formation energy from the elements = -0.01 eV per atom; D(E_F) = 1.51 states/eV per cell
1.0
-1.9853 1.9853 6.2011
1.9853 -1.9853 6.2011
1.9853 1.9853 -6.2011
Rb Zn Hg
1 1 1
direct
0.0000 0.0000 0.0000 Rb
0.2831 0.2831 0.0000 Zn
0.7137 0.7137 0.0000 Hg

---

We obtain raw total energy values of -4.996, -6.395, -0.861 eV/atom for the records listed above, in that order.